Computed, not measured: a geometry-optimized V2ZnIr3 structure at the GGA-PBE level of DFT.

It has space group P4/mmm (No. 123), with a = 2.8152 Å, b = 2.8152 Å, c = 10.6188 Å, α = 90.00°, β = 90.00° and γ = 90.00°. The inequivalent atoms are V at (0.0000, 0.0000, 0.1712), Zn at (0.0000, 0.0000, 0.5000), Ir at (0.5000, 0.5000, 0.0000) and Ir at (0.5000, 0.5000, 0.3271).

Its total DFT energy (no corrections) is -8.1233 eV/atom. The calculated formation energy comes out at -441 meV/atom.